1.
DFT (PBE) results for an optimized crystal structure of TiTePd3.

Geometry as POSCAR:
```
TiTePd3
1.0
4.7296 0.0000 0.0000
0.0000 4.7296 0.0000
0.0000 0.0000 4.7296
Te Pd Ti
1 3 1
Cartesian
2.3648 2.3648 2.3648 Te
0.0000 2.3648 0.0000 Pd
0.0000 0.0000 2.3648 Pd
2.3648 0.0000 0.0000 Pd
0.0000 0.0000 0.0000 Ti
```

Results
Space group = No. 221
Formation energy without anion corrections = 184.1 kJ/mol of formula units

=====

2.
DFT (PBE) results for an optimized crystal structure of Mg2TlSb.

Geometry as POSCAR:
```
Mg2TlSb
1.0
-1.9635 0.6210 -4.0239
-2.6692 -3.2107 -1.7320
-6.5144 1.7433 0.9089
Mg Tl Sb
2 1 1
Cartesian
-5.4084 1.1633 0.2797 Mg
-2.6245 -0.2967 -1.3041 Mg
-5.6097 -0.4042 -2.4029 Tl
-9.5925 0.0115 -2.9343 Sb
```

Results
Space group = No. 160
Formation energy without anion corrections = -62.6 kJ/mol of formula units

=====

3.
DFT (PBE) results for an optimized crystal structure of ZrTiSnC2.

Geometry as POSCAR:
```
ZrTiSnC2
1.0
4.2953 0.0000 0.0000
0.0000 5.0876 0.0000
0.0000 0.0000 4.2953
C Sn Zr Ti
2 1 1 1
Cartesian
0.0000 0.0000 2.1477 C
2.1477 0.0000 0.0000 C
0.0000 0.0000 0.0000 Sn
2.1477 2.5438 2.1477 Zr
0.0000 2.5438 0.0000 Ti
```

Results
ΔE_f = 2.219 eV/atom
Space group = No. 123

=====

4.
DFT (PBE) results for an optimized crystal structure of Hg2C.

Geometry as POSCAR:
```
Hg2C
1.0
8.3514 0.0000 0.0000
-4.1757 7.2326 0.0000
0.0000 0.0000 6.7131
C Hg
4 8
Cartesian
0.0000 4.8217 5.6824 C
4.1757 2.4108 2.3258 C
4.1757 2.4108 1.0307 C
0.0000 4.8217 4.3873 C
0.0000 0.0000 0.0000 Hg
0.0000 0.0000 3.3566 Hg
4.1757 4.8342 1.6783 Hg
0.0000 2.3984 5.0349 Hg
2.0770 1.1992 1.6783 Hg
6.2744 1.1992 1.6783 Hg
-2.0987 6.0334 5.0349 Hg
2.0987 6.0334 5.0349 Hg
```

Results
ΔE_f = 0.996 eV/atom
Space group = No. 194

=====

5.
DFT (PBE) results for an optimized crystal structure of Ta2InCo.

Geometry as POSCAR:
```
Ta2InCo
1.0
5.1583 -0.0461 0.0000
2.1309 4.6978 0.0000
-3.6446 -2.3258 2.8138
Co In Ta
1 1 2
Cartesian
3.6446 2.3258 0.0000 Co
2.5791 -0.0231 1.4069 In
0.0000 0.0000 0.0000 Ta
1.0655 2.3489 1.4069 Ta
```

Results
ΔE_f = 0.264 eV/atom
Space group = No. 119

=====

6.
DFT (PBE) results for an optimized crystal structure of GaAs2RhSe.

Geometry as POSCAR:
```
GaAs2RhSe
1.0
-1.3014 1.8118 -4.2124
-0.0605 -4.3852 -1.8674
-4.6862 -0.4665 1.2471
As Rh Ga Se
2 1 1 1
Cartesian
-0.0302 -2.1926 -0.9337 As
-0.6507 0.9059 -2.1062 As
-3.0240 -1.5199 -2.4163 Rh
0.0000 0.0000 0.0000 Ga
-2.3431 -0.2332 0.6236 Se
```

Results
Space group = No. 123
Formation energy without anion corrections = 451.1 kJ/mol of formula units

=====

7.
DFT (PBE) results for an optimized crystal structure of Tb6Dy2YSc.

Geometry as POSCAR:
```
Tb6Dy2YSc
1.0
1.3792 3.3193 -8.6942
-3.4396 -7.5111 -2.8119
-5.5014 6.4146 2.1775
Tb Dy Y Sc
12 4 2 2
Cartesian
-4.5202 4.0647 0.8140 Tb
-5.0249 5.2363 -2.6648 Tb
-3.0415 -1.8419 -10.1426 Tb
-2.5369 -3.0136 -6.6638 Tb
-5.3888 -3.6498 -4.5334 Tb
-1.7103 -3.5697 -3.2366 Tb
-2.1730 5.8725 -4.7952 Tb
-5.8515 5.7925 -6.0920 Tb
-5.0062 -1.7681 -1.9274 Tb
-2.8030 -0.6549 -4.1240 Tb
-2.5555 3.9908 -7.4012 Tb
-4.7587 2.8776 -5.2046 Tb
-5.9303 -0.0453 -4.6848 Dy
-2.1034 -0.8622 -0.8236 Dy
-1.6315 2.2681 -4.6438 Dy
-5.4584 3.0849 -8.5050 Dy
-3.1400 -6.3756 -4.8760 Y
-4.4217 8.5984 -4.4526 Y
-4.3016 1.4694 -2.0652 Sc
-3.2602 0.7534 -7.2634 Sc
```

Results
ΔE_f = 0.124 eV/atom
Space group = No. 15

=====

8.
DFT (PBE) results for an optimized crystal structure of Y4Er3Ga4.

Geometry as POSCAR:
```
Y4Er3Ga4
1.0
3.5465 0.0000 0.0000
0.0000 9.0423 0.0000
-1.7732 -4.5211 8.8596
Y Er Ga
4 3 4
Cartesian
0.0000 -1.6810 5.9280 Y
1.7732 2.8401 2.9316 Y
1.7732 6.2022 2.9316 Y
0.0000 1.6810 5.9280 Y
0.0000 0.0000 1.6934 Er
1.7732 4.5211 7.1663 Er
0.0000 4.5211 0.0000 Er
0.0000 4.5211 4.8203 Ga
1.7732 0.0000 4.0393 Ga
1.7732 7.0322 0.0000 Ga
1.7732 2.0100 0.0000 Ga
```

Results
ΔE_f = -0.427 eV/atom
Space group = No. 71

=====

9.
DFT (PBE) results for an optimized crystal structure of P2PbBr.

Geometry as POSCAR:
```
P2PbBr
1.0
3.3898 0.0000 0.0000
0.0000 3.3898 0.0000
0.0000 0.0000 8.3954
Br P Pb
1 2 1
Cartesian
1.6949 1.6949 5.9896 Br
0.0000 0.0000 0.9454 P
1.6949 1.6949 1.6553 P
0.0000 0.0000 4.0028 Pb
```

Results
Space group = No. 99
Formation energy without anion corrections = 28.6 kJ/mol of formula units

=====

10.
DFT (PBE) results for an optimized crystal structure of OsSeF.

Geometry as POSCAR:
```
OsSeF
1.0
5.9486 0.0000 0.0000
2.9743 7.1384 -0.1501
2.9743 1.1658 7.7501
Os F Se
6 6 6
Cartesian
3.1447 6.3648 1.2395 Os
4.4417 0.8301 1.2489 Os
4.4811 4.9822 5.0489 Os
2.7290 2.6203 2.7561 Os
6.1939 6.7724 6.5561 Os
8.7525 3.3785 5.1897 Os
6.8180 7.5665 3.0299 F
4.7243 5.0530 0.2142 F
4.3147 5.6654 3.1450 F
5.0792 4.5802 6.9800 F
7.1728 2.0667 4.1643 F
7.5824 2.6791 7.0951 F
7.6266 4.5217 1.8992 Se
1.9473 0.9763 1.0068 Se
6.9756 5.1284 4.8068 Se
4.9608 2.9321 2.1851 Se
9.9107 7.0842 5.9851 Se
4.2706 1.5354 5.8493 Se
```

Results
Space group = No. 9
Formation energy without anion corrections = -112.1 kJ/mol of formula units

=====

11.
DFT (PBE) results for an optimized crystal structure of Sn3PtS8.

Geometry as POSCAR:
```
Sn3PtS8
1.0
-6.8985 1.3503 2.0755
3.0677 -6.4908 1.4776
2.4773 6.2957 4.1383
Sn Pt S
3 1 8
Cartesian
-3.4493 0.6751 1.0377 Sn
-1.9154 -2.5703 1.7765 Sn
1.5339 -3.2454 0.7388 Sn
0.0000 0.0000 0.0000 Pt
1.7244 1.8851 4.5051 S
-3.0779 -0.7299 3.1862 S
0.3451 5.2112 3.8023 S
-3.3309 5.9307 4.9083 S
-1.6965 2.4719 5.6948 S
0.3429 -1.3168 1.9965 S
1.9774 -4.7755 2.7831 S
-1.6986 -4.0560 3.8890 S
```

Results
Space group = No. 12
Formation energy without anion corrections = -451.4 kJ/mol of formula units

=====

12.
DFT (PBE) results for an optimized crystal structure of Sm2CdSi4Pt3.

Geometry as POSCAR:
```
Sm2CdSi4Pt3
1.0
-2.8669 -3.0183 0.8660
2.4517 -2.8842 -1.9363
4.7000 -1.9314 8.8279
Sm Cd Si Pt
2 1 4 3
Cartesian
-0.3000 -1.9749 2.5618 Sm
4.7925 -2.9078 5.7309 Sm
2.1425 -3.9170 3.8787 Cd
-0.2076 -2.9513 -0.5352 Si
0.0000 0.0000 0.0000 Si
1.6157 -2.7622 6.1600 Si
2.8768 -2.1205 2.1326 Si
2.3500 -0.9657 4.4139 Pt
2.7207 -3.2162 8.2355 Pt
1.7718 -1.6664 0.0572 Pt
```

Results
Space group = No. 115
Formation energy without anion corrections = -889.6 kJ/mol of formula units